No. 1
Density functional theory data (GGA-PBE) for Ca2OsRu after structural relaxation.

Output
E above lowest polymorph = 695 meV/atom
mass density = 7.4 g cm⁻³
spin magnetization = 0.0 μB/f.u.
formation energy from the elements = 931 meV per atom

a = 7.9056 Å, b = 7.9056 Å, c = 6.1918 Å
α = 50.33°, β = 50.33°, γ = 90.00°
Fractional coordinates of all 8 atoms:
1 Ru 0.5000 0.5000 0.0000
2 Ru 0.2500 0.7500 0.5000
3 Ca 0.6159 0.1250 0.2500
4 Ca 0.1341 0.6250 0.2500
5 Ca 0.3750 0.3841 0.7500
6 Ca 0.8750 0.8659 0.7500
7 Os 0.0000 0.0000 0.0000
8 Os 0.7500 0.2500 0.5000

***

No. 2
Density functional theory data (GGA-PBE) for AlSi2Tc after structural relaxation.

Output
mass density = 5.1 g cm⁻³
spin magnetization = 0.0 μB/f.u.
uncorrected formation energy = 0.12 eV/atom

a = 2.8313 Å, b = 2.8313 Å, c = 7.7890 Å
α = 90.00°, β = 90.00°, γ = 109.64°
Fractional coordinates of all 4 atoms:
1 Si 0.0000 0.0000 0.0099
2 Si 0.5000 0.5000 0.2585
3 Tc 0.0000 0.0000 0.4884
4 Al 0.5000 0.5000 0.7432

***

No. 3
Density functional theory data (GGA-PBE) for CeErCdRh after structural relaxation.

Output
mass density = 9.3 g cm⁻³
spin magnetization = 0.7 μB/f.u.
formation energy from the elements = -412 meV per atom

a = 5.0963 Å, b = 5.0963 Å, c = 5.0963 Å
α = 60.00°, β = 60.00°, γ = 60.00°
Fractional coordinates of all 4 atoms:
1 Cd 0.0000 0.0000 0.0000
2 Rh 0.5000 0.5000 0.5000
3 Ce 0.7500 0.7500 0.7500
4 Er 0.2500 0.2500 0.2500

***

No. 4
Density functional theory data (GGA-PBE) for CoAuCl after structural relaxation.

Output
E above lowest polymorph = 128 meV/atom
mass density = 8.5 g cm⁻³
spin magnetization = 2.3 μB/f.u.
uncorrected formation energy = 0.06 eV/atom

a = 5.5727 Å, b = 3.3193 Å, c = 12.4890 Å
α = 90.00°, β = 99.03°, γ = 90.00°
Fractional coordinates of all 12 atoms:
1 Co 0.2243 0.0000 0.7415
2 Co 0.2243 0.5000 0.2415
3 Co 0.0204 0.0000 0.5508
4 Co 0.0204 0.5000 0.0508
5 Au 0.4964 0.0000 0.5806
6 Au 0.4964 0.5000 0.0806
7 Au 0.8617 0.0000 0.1811
8 Au 0.8617 0.5000 0.6811
9 Cl 0.4713 0.0000 0.3264
10 Cl 0.4713 0.5000 0.8264
11 Cl 0.0206 0.0000 0.9235
12 Cl 0.0206 0.5000 0.4235

***

No. 5
Density functional theory data (GGA-PBE) for Zr2TlRh after structural relaxation.

Output
mass density = 9.8 g cm⁻³
spin magnetization = 0.0 μB/f.u.
formation energy from the elements = -286 meV per atom

a = 3.3599 Å, b = 3.3606 Å, c = 7.3282 Å
α = 90.00°, β = 90.00°, γ = 90.00°
Fractional coordinates of all 4 atoms:
1 Rh 0.0000 0.0000 0.4845
2 Tl 0.5000 0.5000 0.7251
3 Zr 0.0000 0.0000 0.0020
4 Zr 0.5000 0.5000 0.2883

***

No. 6
Density functional theory data (GGA-PBE) for CeDySe2O after structural relaxation.

Output
mass density = 6.9 g cm⁻³
spin magnetization = 0.7 μB/f.u.
uncorrected formation energy = -2.42 eV/atom

a = 4.0129 Å, b = 4.0129 Å, c = 14.3416 Å
α = 90.00°, β = 90.00°, γ = 90.00°
Fractional coordinates of all 10 atoms:
1 Ce 0.5000 0.0000 0.5859
2 Ce 0.0000 0.5000 0.4141
3 Dy 0.5000 0.0000 0.1179
4 Dy 0.0000 0.5000 0.8821
5 Se 0.0000 0.5000 0.6918
6 Se 0.0000 0.5000 0.0933
7 Se 0.5000 0.0000 0.9067
8 Se 0.5000 0.0000 0.3082
9 O 0.0000 0.0000 0.5000
10 O 0.5000 0.5000 0.5000

***

No. 7
Density functional theory data (GGA-PBE) for Zr2Sc after structural relaxation.

Output
mass density = 5.3 g cm⁻³
spin magnetization = 0.0 μB/f.u.
formation energy from the elements = -15 meV per atom

a = 8.8102 Å, b = 3.1874 Å, c = 11.8103 Å
α = 90.00°, β = 121.60°, γ = 90.00°
Fractional coordinates of all 12 atoms:
1 Zr 0.6706 0.0000 0.1239
2 Zr 0.3294 0.0000 0.8761
3 Zr 0.6706 0.5000 0.6239
4 Zr 0.3294 0.5000 0.3761
5 Zr 0.9806 0.0000 0.8612
6 Zr 0.0194 0.0000 0.1388
7 Zr 0.9806 0.5000 0.3612
8 Zr 0.0194 0.5000 0.6388
9 Sc 0.3325 0.0000 0.6141
10 Sc 0.6675 0.0000 0.3859
11 Sc 0.3325 0.5000 0.1141
12 Sc 0.6675 0.5000 0.8859

***

No. 8
Density functional theory data (GGA-PBE) for La2CdPtC after structural relaxation.

Output
mass density = 8.4 g cm⁻³
spin magnetization = 0.0 μB/f.u.
formation energy from the elements = -425 meV per atom

a = 5.4854 Å, b = 5.4854 Å, c = 3.9396 Å
α = 90.00°, β = 90.00°, γ = 90.00°
Fractional coordinates of all 5 atoms:
1 C 0.0000 0.0000 0.0000
2 Cd 0.5000 0.5000 0.5000
3 Pt 0.0000 0.0000 0.5000
4 La 0.0000 0.5000 0.0000
5 La 0.5000 0.0000 0.0000

***

No. 9
Density functional theory data (GGA-PBE) for BaPmO3 after structural relaxation.

Output
mass density = 6.0 g cm⁻³
spin magnetization = 0.0 μB/f.u.
uncorrected formation energy = -2.55 eV/atom

a = 4.5161 Å, b = 4.5161 Å, c = 4.5161 Å
α = 90.00°, β = 90.00°, γ = 90.00°
Fractional coordinates of all 5 atoms:
1 Ba 0.5000 0.5000 0.5000
2 O 0.0000 0.5000 0.0000
3 O 0.0000 0.0000 0.5000
4 O 0.5000 0.0000 0.0000
5 Pm 0.0000 0.0000 0.0000

***

No. 10
Density functional theory data (GGA-PBE) for AgSeBrO2 after structural relaxation.

Output
E above lowest polymorph = 968 meV/atom
mass density = 5.6 g cm⁻³
spin magnetization = 0.0 μB/f.u.
uncorrected formation energy = 0.51 eV/atom

a = 3.8624 Å, b = 5.8861 Å, c = 3.8624 Å
α = 90.00°, β = 90.00°, γ = 90.00°
Fractional coordinates of all 5 atoms:
1 O 0.0000 0.0000 0.5000
2 O 0.5000 0.0000 0.0000
3 Se 0.0000 0.5000 0.0000
4 Br 0.0000 0.0000 0.0000
5 Ag 0.5000 0.5000 0.5000

***

No. 11
Density functional theory data (GGA-PBE) for Rb2Te5As2 after structural relaxation.

Output
E above lowest polymorph = 0 meV/atom
mass density = 4.2 g cm⁻³
spin magnetization = 0.0 μB/f.u.
uncorrected formation energy = -0.35 eV/atom

a = 6.1834 Å, b = 8.1214 Å, c = 9.3077 Å
α = 121.13°, β = 105.05°, γ = 90.56°
Fractional coordinates of all 9 atoms:
1 Rb 0.5638 0.3154 0.1407
2 Rb 0.4362 0.6846 0.8593
3 Te 0.0837 0.5871 0.1892
4 Te 0.7213 0.0455 0.3713
5 Te 0.2787 0.9545 0.6287
6 Te 0.9163 0.4129 0.8108
7 Te 0.0000 0.0000 0.0000
8 As 0.1166 0.9678 0.3104
9 As 0.8834 0.0322 0.6896

***

No. 12
Density functional theory data (GGA-PBE) for MgNO after structural relaxation.

Output
mass density = 2.5 g cm⁻³
spin magnetization = 0.0 μB/f.u.
uncorrected formation energy = -1.63 eV/atom

a = 2.9443 Å, b = 2.9443 Å, c = 8.5170 Å
α = 80.23°, β = 80.23°, γ = 90.01°
Fractional coordinates of all 6 atoms:
1 N 0.9652 0.9652 0.5674
2 N 0.0348 0.0348 0.4326
3 Mg 0.8130 0.8130 0.8714
4 Mg 0.1870 0.1870 0.1286
5 O 0.3151 0.3151 0.8670
6 O 0.6849 0.6849 0.1330